A geometry-optimized Ac3Co2RhO9 structure, computed with GGA+U.

Output
Calculated total energy in eV per atom: -7.09
SG: No. 164

Cell lengths 5.6675, 5.6675, 6.8783 Å; angles 90.00, 90.00, 120.00 degrees
Sites, in units of the cell vectors:
O1 0.8324 0.6647 0.6698
O2 0.0000 0.5000 0.0000
Ac1 0.6667 0.3333 0.3294
O3 0.1676 0.8324 0.3302
O4 0.6647 0.8324 0.3302
O5 0.5000 0.0000 0.0000
Co1 0.3333 0.6667 0.1624
O6 0.3353 0.1676 0.6698
Co2 0.6667 0.3333 0.8376
Rh1 0.0000 0.0000 0.5000
O7 0.1676 0.3353 0.3302
O8 0.5000 0.5000 0.0000
O9 0.8324 0.1676 0.6698
Ac2 0.0000 0.0000 0.0000
Ac3 0.3333 0.6667 0.6706